# 1
DFT (PBE) results for a relaxed BeReAg2 crystal.

Energy relative to the elements, eV per atom: 0.63
VASP energy, eV per atom: -4.84
Magnetization, μB/f.u.: 0.37

a b c (Å): 2.7345 4.5870 4.8275
angles (deg): 90.00 90.00 90.00
With the nearest neighbours (Å) after each atom.
Positions (direct):
Be  0.0000  0.0000  0.0000  4 Re 2.67, 2 Be 2.73, 4 Ag 2.77
Re  0.5000  0.5000  0.0000  4 Be 2.67, 2 Re 2.73, 4 Ag 2.77
Ag  0.0000  0.5000  0.5000  6 Ag 2.67-2.73, 4 Re 2.77
Ag  0.5000  0.0000  0.5000  6 Ag 2.67-2.73, 4 Be 2.77

***

# 2
DFT (PBE) results for a relaxed Pr2MgPb2 crystal.

Energy relative to the elements, eV per atom: -0.45
VASP energy, eV per atom: -4.16
Magnetization, μB/f.u.: 0.00

a b c (Å): 9.1815 9.1815 7.3695
angles (deg): 90.00 90.00 149.17
With the nearest neighbours (Å) after each atom.
Positions (direct):
Pr  0.0175  0.9825  0.5000  5 Pb 3.27-3.35, 2 Mg 3.49
Pr  0.2002  0.7998  0.8203  5 Pb 3.25-3.44
Pr  0.7998  0.2002  0.3203  5 Pb 3.25-3.44
Pr  0.9825  0.0175  0.0000  5 Pb 3.27-3.35, 2 Mg 3.49
Mg  0.3983  0.6017  0.6791  4 Pb 2.90-3.13
Mg  0.6017  0.3983  0.1791  4 Pb 2.90-3.13
Pb  0.1791  0.8209  0.2840  2 Mg 2.90
Pb  0.4292  0.5708  0.2714  2 Mg 3.05-3.13, 6 Pr 3.29-3.37
Pb  0.5708  0.4292  0.7714  2 Mg 3.05-3.13, 6 Pr 3.29-3.37
Pb  0.8209  0.1791  0.7840  2 Mg 2.90